The following is a DFT calculation (PBE) of a relaxed CrRh2Au crystal.

Geometry as POSCAR:
```
CrRh2Au
1.0
-1.8249 1.3188 -3.8171
1.6809 -1.3918 -3.8570
-2.2604 -2.8868 -2.4893
Cr Rh Au
1 2 1
Direct
0.7500 0.7500 0.7500
0.0000 0.0000 0.0000
0.2500 0.2500 0.2500
0.5000 0.5000 0.5000
```

Computed properties:
volume	15.4	Å³ per atom
space group	No. 216
ρ	12271	kg/m3
total energy	-6.646	eV per atom
ΔE_f	0.254	eV per atom